! Pu3Pd2 | the Alexandria database | PBE-GGA | optimized geometry; values from VASP
&SYSTEM
  ibrav = 0, nat = 15, ntyp = 2
/
ATOMIC_SPECIES
Pu 244.00 Pu.upf
Pd 106.42 Pd.upf
ATOMIC_POSITIONS crystal
Pu 0.000 0.000 0.000
Pu 0.000 0.000 0.408
Pu 0.000 0.000 0.592
Pu 0.333 0.667 0.074
Pu 0.333 0.667 0.259
Pu 0.333 0.667 0.667
Pu 0.667 0.333 0.333
Pu 0.667 0.333 0.741
Pu 0.667 0.333 0.926
Pd 0.000 0.000 0.203
Pd 0.000 0.000 0.797
Pd 0.333 0.667 0.463
Pd 0.333 0.667 0.870
Pd 0.667 0.333 0.130
Pd 0.667 0.333 0.537
CELL_PARAMETERS angstrom
4.888 0.000 0.000
-2.444 4.233 0.000
0.000 0.000 15.200
! - Energy above the lowest structure with this stoichiometry: 17.5 meV/atom
! - E_form: -0.23 eV/atom
! - Total magnetization: 49.70 Bohr magnetons per cell
! - Energy: -10.91 eV/atom


! CsK2AgSn | the Alexandria database | PBE-GGA | optimized geometry; values from VASP
&SYSTEM
  ibrav = 0, nat = 5, ntyp = 4
/
ATOMIC_SPECIES
Cs 132.91 Cs.upf
K 39.10 K.upf
Ag 107.87 Ag.upf
Sn 118.71 Sn.upf
ATOMIC_POSITIONS crystal
Cs 0.000 0.000 0.000
K 0.000 0.500 0.500
K 0.500 0.000 0.500
Ag 0.500 0.500 0.000
Sn 0.500 0.500 0.500
CELL_PARAMETERS angstrom
6.844 0.000 0.000
0.000 6.844 0.000
0.000 0.000 5.403
! - Energy above the lowest structure with this stoichiometry: 40.7 meV/atom
! - E_form: 0.02 eV/atom
! - Total magnetization: 0.00 Bohr magnetons per cell
! - Energy: -1.96 eV/atom


! Y2RhW | the Alexandria database | PBE-GGA | optimized geometry; values from VASP
&SYSTEM
  ibrav = 0, nat = 8, ntyp = 3
/
ATOMIC_SPECIES
Y 88.91 Y.upf
Rh 102.91 Rh.upf
W 183.84 W.upf
ATOMIC_POSITIONS crystal
Y 0.000 0.000 0.000
Y 0.000 0.500 0.250
Y 0.500 0.000 0.750
Y 0.500 0.500 0.500
Rh 0.000 0.500 0.750
Rh 0.500 0.000 0.250
W 0.000 0.000 0.500
W 0.500 0.500 0.000
CELL_PARAMETERS angstrom
4.087 0.000 0.000
0.000 4.087 0.000
0.000 0.000 10.130
! - Energy above the lowest structure with this stoichiometry: 276.2 meV/atom
! - E_form: 0.25 eV/atom
! - Total magnetization: 0.00 Bohr magnetons per cell
! - Energy: -8.06 eV/atom